## LaPmBi2 (GGA-PBE)

Data for LaPmBi2 after structural relaxation.

Output
- V (Å³ per atom) = 35.4
- energy (eV per atom) = -5.359
- energy of formation from the pure elements (eV/atom) = -0.999
- energy relative to the lowest polymorph listed for this composition (eV per atom) = 0.0000
- crystal system = trigonal

abc: 4.6468 4.6468 22.7164
angles: 90.00 90.00 120.00
Space group R-3m (No. 166, hexagonal axes)
Inequivalent atoms, fractional coordinates:
La1 0.0000 0.0000 0.0000 (multiplicity 3)
Pm1 0.0000 0.0000 0.5000 (multiplicity 3)
Bi1 0.0000 0.0000 0.2480 (multiplicity 6)